VASP calculation (PBE) on a geometry-optimized ScPaRhO6 structure.

As for the density of states at the Fermi level: 11.5 states/eV/cell. Its total energy is -75.484 eV/f.u. The raw formation energy comes out at -2506 meV per atom.

The structure belongs to space group P-31c (No. 163); the cell edges are 5.3564, 5.3564 and 9.2851 Å and the angles 90.00°, 90.00° and 120.00°. Symmetry generates all atoms from Sc at (0.0000, 0.0000, 0.0000), Pa at (0.3333, 0.6667, 0.2500), Rh at (0.3333, 0.6667, 0.7500) and O at (0.0231, 0.3455, 0.6285).